Record 1
Crystalline LiCaBO3 at its relaxed geometry, computed with PBEsol.

Properties
The value obtained for the total magnetization is 0.00 μB per atom. The uncorrected formation energy is -2.6916 eV per atom.

Cell lengths 6.038, 6.135, 13.171 Å; angles 90.00, 90.00, 90.00 degrees
Element x y z (fractional)
O: 0.233 0.536 0.252
O: 0.267 0.036 0.748
O: 0.117 0.873 0.405
O: 0.883 0.627 0.905
O: 0.900 0.354 0.405
O: 0.383 0.873 0.905
O: 0.733 0.964 0.252
O: 0.600 0.854 0.595
O: 0.733 0.464 0.248
O: 0.383 0.373 0.595
O: 0.883 0.127 0.595
O: 0.117 0.373 0.095
O: 0.267 0.536 0.752
O: 0.900 0.854 0.095
O: 0.400 0.646 0.095
O: 0.617 0.127 0.095
O: 0.767 0.464 0.748
O: 0.100 0.146 0.905
O: 0.400 0.146 0.405
O: 0.233 0.036 0.248
O: 0.100 0.646 0.595
O: 0.600 0.354 0.905
O: 0.767 0.964 0.752
O: 0.617 0.627 0.405
Li: 0.516 0.709 0.253
Li: 0.484 0.291 0.747
Li: 0.984 0.209 0.747
Li: 0.016 0.791 0.253
Li: 0.984 0.709 0.753
Li: 0.484 0.791 0.753
Li: 0.016 0.291 0.247
Li: 0.516 0.209 0.247
B: 0.250 0.518 0.148
B: 0.750 0.982 0.648
B: 0.250 0.018 0.852
B: 0.250 0.518 0.648
B: 0.750 0.982 0.148
B: 0.750 0.482 0.352
B: 0.250 0.018 0.352
B: 0.750 0.482 0.852
Ca: 0.751 0.490 0.070
Ca: 0.249 0.010 0.570
Ca: 0.749 0.490 0.570
Ca: 0.251 0.510 0.430
Ca: 0.249 0.510 0.930
Ca: 0.251 0.010 0.070
Ca: 0.751 0.990 0.430
Ca: 0.749 0.990 0.930


Record 2
Crystalline Li3NiOF3 at its relaxed geometry, computed with PBEsol.

Properties
Its excess energy over the best structure of this formula in the dataset is 0.00 kJ per mole of atoms. The value obtained for the total magnetization is 0.17 μB per atom. The uncorrected formation energy is -2.2959 eV per atom.

Cell lengths 2.816, 2.816, 8.357 Å; angles 90.00, 90.00, 90.00 degrees
Site moments in Bohr magnetons follow the coordinates.
Element x y z (fractional)
O: 0.000 0.000 0.000  0.09
F: 0.500 0.500 0.262  0.04
F: 0.000 0.000 0.500  0.00
F: 0.500 0.500 0.738  0.04
Li: 0.500 0.500 0.500  0.00
Li: 0.000 0.000 0.253  0.00
Li: 0.000 0.000 0.747  0.00
Ni: 0.500 0.500 0.000  1.16


Record 3
Crystalline FeC5 at its relaxed geometry, computed with PBEsol.

Properties
The value obtained for the total magnetization is 0.00 μB per atom. As for the energy relative to the elements: 0.712 eV/atom.

Cell lengths 2.502, 3.534, 5.246 Å; angles 92.45, 90.00, 110.74 degrees
Element x y z (fractional)
C: 0.595 0.190 0.353
C: 0.042 0.085 0.922
C: 0.376 0.751 0.301
C: 0.196 0.393 0.471
C: 0.193 0.385 0.752
Fe: 0.765 0.529 0.033


Record 4
Crystalline LiFe2W at its relaxed geometry, computed with PBEsol.

Properties
The value obtained for the total magnetization is 0.03 μB per atom. As for the energy relative to the elements: 0.430 eV/atom.

Cell lengths 2.539, 4.174, 4.611 Å; angles 94.42, 90.00, 107.71 degrees
Site moments in Bohr magnetons follow the coordinates.
Element x y z (fractional)
Fe: 0.251 0.502 0.274  0.08
Fe: 0.749 0.498 0.726  0.08
Li: 0.000 0.000 0.500  0.00
W: 0.500 0.000 0.000  -0.01


Record 5
Crystalline CaCd2Rh2 at its relaxed geometry, computed with PBEsol.

Properties
Its excess energy over the best structure of this formula in the dataset is 0.00 kJ per mole of atoms. The value obtained for the total magnetization is 0.00 μB per atom. As for the energy relative to the elements: -0.194 eV/atom.

Cell lengths 3.231, 7.542, 7.542 Å; angles 90.00, 90.00, 90.00 degrees
Element x y z (fractional)
Rh: 0.000 0.132 0.368
Rh: 0.000 0.368 0.868
Rh: 0.000 0.632 0.132
Rh: 0.000 0.868 0.632
Cd: 0.500 0.338 0.162
Cd: 0.500 0.662 0.838
Cd: 0.500 0.162 0.662
Cd: 0.500 0.838 0.338
Ca: 0.000 0.000 0.000
Ca: 0.000 0.500 0.500


Record 6
Crystalline Li5Mg3 at its relaxed geometry, computed with PBEsol.

Properties
Its excess energy over the best structure of this formula in the dataset is 0.00 kJ per mole of atoms. The value obtained for the total magnetization is 0.00 μB per atom. As for the energy relative to the elements: -0.047 eV/atom.

Cell lengths 4.843, 5.887, 5.887 Å; angles 110.25, 90.00, 90.00 degrees
Element x y z (fractional)
Li: 0.000 0.000 0.500
Li: 0.000 0.000 0.000
Li: 0.500 0.761 0.761
Li: 0.000 0.500 0.000
Li: 0.500 0.239 0.239
Mg: 0.000 0.500 0.500
Mg: 0.500 0.742 0.258
Mg: 0.500 0.258 0.742


Record 7
Crystalline SiTe at its relaxed geometry, computed with PBEsol.

Properties
The value obtained for the total magnetization is 0.00 μB per atom. The uncorrected formation energy is 0.2960 eV per atom.

Cell lengths 3.806, 3.806, 7.391 Å; angles 90.00, 90.00, 120.00 degrees
Element x y z (fractional)
Te: 0.000 0.000 0.000
Te: 0.000 0.000 0.500
Si: 0.667 0.333 0.750
Si: 0.333 0.667 0.250


Record 8
Crystalline Tb2Co3Ge5 at its relaxed geometry, computed with PBEsol.

Properties
The value obtained for the total magnetization is 0.05 μB per atom. As for the energy relative to the elements: -0.670 eV/atom.

Cell lengths 5.647, 7.982, 7.982 Å; angles 93.94, 109.46, 109.46 degrees
Site moments in Bohr magnetons follow the coordinates.
Element x y z (fractional)
Tb: 0.233 0.872 0.593  0.00
Tb: 0.267 0.407 0.128  0.00
Tb: 0.733 0.593 0.872  0.00
Tb: 0.767 0.128 0.407  0.00
Ge: 0.750 0.490 0.510  0.00
Ge: 0.250 0.214 0.786  0.00
Ge: 0.326 0.738 0.923  -0.01
Ge: 0.174 0.077 0.262  -0.01
Ge: 0.826 0.923 0.738  -0.01
Ge: 0.674 0.262 0.077  -0.01
Ge: 0.250 0.510 0.490  0.00
Ge: 0.750 0.228 0.772  0.00
Ge: 0.250 0.772 0.228  0.00
Ge: 0.750 0.786 0.214  0.00
Co: 0.750 0.996 0.004  0.43
Co: 0.622 0.736 0.457  0.05
Co: 0.250 0.004 0.996  0.43
Co: 0.378 0.264 0.543  0.05
Co: 0.878 0.543 0.264  0.05
Co: 0.122 0.457 0.736  0.05


Record 9
Crystalline AlF3 at its relaxed geometry, computed with PBEsol.

Properties
The value obtained for the total magnetization is 0.00 μB per atom. The uncorrected formation energy is -3.5817 eV per atom.

Cell lengths 3.605, 3.605, 3.605 Å; angles 90.00, 90.00, 90.00 degrees
Element x y z (fractional)
F: 0.000 0.000 0.500
F: 0.500 0.000 0.000
F: 0.000 0.500 0.000
Al: 0.000 0.000 0.000


Record 10
Crystalline K2AlAsRh at its relaxed geometry, computed with PBEsol.

Properties
The value obtained for the total magnetization is 0.36 μB per atom. As for the energy relative to the elements: 0.594 eV/atom.

Cell lengths 4.623, 5.745, 5.745 Å; angles 90.00, 90.00, 90.00 degrees
Site moments in Bohr magnetons follow the coordinates.
Element x y z (fractional)
Al: 0.500 0.000 0.000  0.00
K: 0.000 0.000 0.500  0.01
K: 0.000 0.500 0.000  0.01
As: 0.500 0.500 0.500  0.64
Rh: 0.000 0.000 0.000  0.26


Record 11
Crystalline AgAsP2Os at its relaxed geometry, computed with PBEsol.

Properties
The value obtained for the total magnetization is 0.00 μB per atom. As for the energy relative to the elements: 0.757 eV/atom.

Cell lengths 4.400, 4.400, 5.231 Å; angles 90.00, 90.00, 90.00 degrees
Element x y z (fractional)
As: 0.500 0.500 0.500
Os: 0.000 0.000 0.000
Ag: 0.000 0.000 0.500
P: 0.000 0.500 0.000
P: 0.500 0.000 0.000


Record 12
Crystalline SrCoP2O7 at its relaxed geometry, computed with PBEsol.

Properties
The value obtained for the total magnetization is 0.27 μB per atom. The uncorrected formation energy is -2.2359 eV per atom.

Cell lengths 5.322, 8.154, 12.673 Å; angles 90.00, 90.00, 90.00 degrees
Site moments in Bohr magnetons follow the coordinates.
Element x y z (fractional)
O: 0.702 0.682 0.408  0.06
O: 0.170 0.903 0.102  0.06
O: 0.172 0.854 0.348  0.05
O: 0.950 0.882 0.735  0.05
O: 0.830 0.097 0.898  0.06
O: 0.330 0.403 0.398  0.06
O: 0.270 0.612 0.049  0.01
O: 0.050 0.118 0.265  0.05
O: 0.202 0.818 0.908  0.06
O: 0.328 0.354 0.152  0.05
O: 0.798 0.182 0.092  0.06
O: 0.770 0.888 0.549  0.01
O: 0.828 0.146 0.652  0.05
O: 0.730 0.388 0.951  0.01
O: 0.450 0.618 0.235  0.05
O: 0.401 0.166 0.974  0.05
O: 0.550 0.382 0.765  0.05
O: 0.672 0.646 0.848  0.05
O: 0.599 0.834 0.026  0.05
O: 0.015 0.442 0.795  0.00
O: 0.485 0.942 0.705  0.00
O: 0.985 0.558 0.205  0.00
O: 0.298 0.318 0.592  0.06
O: 0.515 0.058 0.295  0.00
O: 0.670 0.597 0.602  0.06
O: 0.230 0.112 0.451  0.01
O: 0.099 0.666 0.526  0.05
O: 0.901 0.334 0.474  0.05
P: 0.816 0.698 0.519  0.01
P: 0.316 0.802 0.019  0.01
P: 0.748 0.467 0.834  0.01
P: 0.184 0.302 0.481  0.01
P: 0.752 0.967 0.666  0.01
P: 0.684 0.198 0.981  0.01
P: 0.248 0.033 0.334  0.01
P: 0.252 0.533 0.166  0.01
Sr: 0.713 0.338 0.279  0.00
Sr: 0.287 0.662 0.721  0.00
Sr: 0.213 0.162 0.779  0.00
Sr: 0.787 0.838 0.221  0.00
Co: 0.826 0.852 0.895  2.59
Co: 0.174 0.148 0.105  2.59
Co: 0.326 0.648 0.395  2.59
Co: 0.674 0.352 0.605  2.59